TaSeSCl2: single point on PBEsol structure, SCAN.

Results
* ΔE_f (raw): -1.23 eV/f.u.
* total magnetic moment: 1.96 μB/cell

Cell lengths 4.7768, 4.7768, 4.7445 Å; angles 90.00, 90.00, 90.00 degrees
With the nearest neighbours (Å) after each atom.
Fractional coordinates of all 5 atoms:
1 Ta 0.0000 0.0000 0.0000  2 S 2.37, 4 Cl 2.39
2 Se 0.5000 0.5000 0.5000  8 Cl 3.37, 4 S 3.38
3 S 0.0000 0.0000 0.5000  2 Ta 2.37
4 Cl 0.0000 0.5000 0.0000  2 Ta 2.39
5 Cl 0.5000 0.0000 0.0000  2 Ta 2.39